A plane-wave DFT calculation with PBE was carried out for crystalline Cs4LiTh3Se8 at its relaxed geometry.

Lattice parameters (Å, degrees): 9.7730 9.7730 9.7730 53.15 53.15 53.15
Element x y z (fractional)
Cs  0.0000  0.0000  0.0000
Cs  0.0000  0.5000  0.5000
Cs  0.5000  0.0000  0.5000
Cs  0.5000  0.5000  0.0000
Li  0.5000  0.5000  0.5000
Th  0.0000  0.0000  0.5000
Th  0.0000  0.5000  0.0000
Th  0.5000  0.0000  0.0000
Se  0.2197  0.7332  0.7332
Se  0.2308  0.2308  0.2308
Se  0.2668  0.2668  0.7803
Se  0.2668  0.7803  0.2668
Se  0.7332  0.2197  0.7332
Se  0.7332  0.7332  0.2197
Se  0.7692  0.7692  0.7692
Se  0.7803  0.2668  0.2668

A plane-wave DFT calculation with PBE was carried out for crystalline Cs3LiTh3Se8 at its relaxed geometry.

Lattice parameters (Å, degrees): 9.8337 9.8337 9.8337 52.42 52.42 52.42
Element x y z (fractional)
Cs  0.0000  0.5000  0.5000
Cs  0.5000  0.0000  0.5000
Cs  0.5000  0.5000  0.0000
Li  0.5000  0.5000  0.5000
Th  0.0000  0.0000  0.5000
Th  0.0000  0.5000  0.0000
Th  0.5000  0.0000  0.0000
Se  0.2160  0.7324  0.7324
Se  0.2309  0.2309  0.2309
Se  0.2676  0.2676  0.7840
Se  0.2676  0.7840  0.2676
Se  0.7324  0.2160  0.7324
Se  0.7324  0.7324  0.2160
Se  0.7691  0.7691  0.7691
Se  0.7840  0.2676  0.2676

A plane-wave DFT calculation with PBE was carried out for crystalline Cs3LiTh2Se6 at its relaxed geometry.

Lattice parameters (Å, degrees): 7.6146 7.6146 8.7215 98.23 98.23 120.09
Element x y z (fractional)
Cs  0.0000  0.0000  0.0000
Cs  0.3410  0.6590  0.0000
Cs  0.6590  0.3410  0.0000
Li  0.5000  0.5000  0.5000
Th  0.1673  0.8327  0.5000
Th  0.8327  0.1673  0.5000
Se  0.0878  0.4373  0.3103
Se  0.2159  0.2159  0.6840
Se  0.4373  0.0878  0.3103
Se  0.5627  0.9122  0.6897
Se  0.7841  0.7841  0.3160
Se  0.9122  0.5627  0.6897

A plane-wave DFT calculation with PBE was carried out for crystalline CsLiTh2Se4 at its relaxed geometry.

Lattice parameters (Å, degrees): 7.6385 7.6385 14.9151 90.00 90.00 146.94
Element x y z (fractional)
Cs  0.1077  0.8923  0.7500
Cs  0.8923  0.1077  0.2500
Li  0.1677  0.8323  0.2500
Li  0.8323  0.1677  0.7500
Th  0.3754  0.6246  0.5557
Th  0.3754  0.6246  0.9443
Th  0.6246  0.3754  0.0557
Th  0.6246  0.3754  0.4443
Se  0.0000  0.0000  0.0000
Se  0.0000  0.0000  0.5000
Se  0.2584  0.7416  0.1052
Se  0.2584  0.7416  0.3948
Se  0.4185  0.5815  0.7500
Se  0.5815  0.4185  0.2500
Se  0.7416  0.2584  0.6052
Se  0.7416  0.2584  0.8948

A plane-wave DFT calculation with PBE was carried out for crystalline Cs2LiTl2Se4 at its relaxed geometry.

Lattice parameters (Å, degrees): 8.0808 8.0808 8.1194 104.66 104.66 36.07
Element x y z (fractional)
Cs  0.1306  0.1306  0.0736
Cs  0.8694  0.8694  0.9264
Li  0.0000  0.0000  0.5000
Tl  0.3540  0.3540  0.4802
Tl  0.6460  0.6460  0.5198
Se  0.1970  0.1970  0.6631
Se  0.4957  0.4957  0.2592
Se  0.5043  0.5043  0.7408
Se  0.8030  0.8030  0.3369

A plane-wave DFT calculation with PBE was carried out for crystalline CsLiTlSe2 at its relaxed geometry.

Lattice parameters (Å, degrees): 8.3948 8.3948 6.9992 90.00 90.00 136.22
Element x y z (fractional)
Cs  0.2500  0.7500  0.7518
Cs  0.7500  0.2500  0.2482
Li  0.2500  0.2500  0.0000
Li  0.7500  0.7500  0.0000
Tl  0.0000  0.0000  0.5000
Tl  0.5000  0.5000  0.5000
Se  0.1088  0.8912  0.1930
Se  0.3912  0.6088  0.1930
Se  0.6088  0.3912  0.8070
Se  0.8912  0.1088  0.8070

A plane-wave DFT calculation with PBE was carried out for crystalline CsLiTmSe2 at its relaxed geometry.

Lattice parameters (Å, degrees): 8.4779 8.4779 6.3914 90.00 90.00 129.66
Element x y z (fractional)
Cs  0.2500  0.7500  0.7766
Cs  0.7500  0.2500  0.2234
Li  0.0000  0.0000  0.0000
Li  0.5000  0.5000  0.0000
Tm  0.2500  0.2500  0.5000
Tm  0.7500  0.7500  0.5000
Se  0.1040  0.8960  0.2924
Se  0.3960  0.6040  0.2924
Se  0.6040  0.3960  0.7076
Se  0.8960  0.1040  0.7076

A plane-wave DFT calculation with PBE was carried out for crystalline Cs2Li2USe4 at its relaxed geometry.

Lattice parameters (Å, degrees): 8.2023 8.2023 8.3209 108.18 108.18 30.78
Element x y z (fractional)
Cs  0.1388  0.1388  0.0659
Cs  0.8612  0.8612  0.9341
Li  0.3205  0.3205  0.5147
Li  0.6795  0.6795  0.4853
U  0.0000  0.0000  0.5000
Se  0.1891  0.1891  0.6505
Se  0.4834  0.4834  0.7171
Se  0.5166  0.5166  0.2829
Se  0.8109  0.8109  0.3495

A plane-wave DFT calculation with PBE was carried out for crystalline Cs4LiU3Se8 at its relaxed geometry.

Lattice parameters (Å, degrees): 9.6977 9.6977 9.6977 52.64 52.64 52.64
Element x y z (fractional)
Cs  0.0000  0.0000  0.0000
Cs  0.0000  0.5000  0.5000
Cs  0.5000  0.0000  0.5000
Cs  0.5000  0.5000  0.0000
Li  0.5000  0.5000  0.5000
U  0.0000  0.0000  0.5000
U  0.0000  0.5000  0.0000
U  0.5000  0.0000  0.0000
Se  0.2168  0.7322  0.7322
Se  0.2289  0.2289  0.2289
Se  0.2678  0.2678  0.7832
Se  0.2678  0.7832  0.2678
Se  0.7322  0.2168  0.7322
Se  0.7322  0.7322  0.2168
Se  0.7711  0.7711  0.7711
Se  0.7832  0.2678  0.2678

A plane-wave DFT calculation with PBE was carried out for crystalline CsLi3U4Se12 at its relaxed geometry.

Lattice parameters (Å, degrees): 9.0087 9.0087 9.0087 109.47 109.47 109.47
Element x y z (fractional)
Cs  0.0000  0.0000  0.0000
Li  0.0000  0.5000  0.5000
Li  0.5000  0.0000  0.5000
Li  0.5000  0.5000  0.0000
U  0.0000  0.0000  0.5000
U  0.0000  0.5000  0.0000
U  0.5000  0.0000  0.0000
U  0.5000  0.5000  0.5000
Se  0.1246  0.8163  0.3083
Se  0.1837  0.3083  0.4920
Se  0.1837  0.6917  0.8754
Se  0.3083  0.1246  0.8163
Se  0.3083  0.4920  0.1837
Se  0.4920  0.1837  0.3083
Se  0.5080  0.8163  0.6917
Se  0.6917  0.5080  0.8163
Se  0.6917  0.8754  0.1837
Se  0.8163  0.3083  0.1246
Se  0.8163  0.6917  0.5080
Se  0.8754  0.1837  0.6917

A plane-wave DFT calculation with PBE was carried out for crystalline Cs2LiU3Se8 at its relaxed geometry.

Lattice parameters (Å, degrees): 10.1177 10.1177 10.1177 48.50 48.50 48.50
Element x y z (fractional)
Cs  0.0000  0.0000  0.0000
Cs  0.3523  0.3523  0.3523
Li  0.8446  0.8446  0.8446
U  0.3537  0.3537  0.8485
U  0.3537  0.8485  0.3537
U  0.8485  0.3537  0.3537
Se  0.0813  0.0813  0.5612
Se  0.0813  0.5612  0.0813
Se  0.1293  0.1293  0.1293
Se  0.1415  0.6217  0.6217
Se  0.5612  0.0813  0.0813
Se  0.5776  0.5776  0.5776
Se  0.6217  0.1415  0.6217
Se  0.6217  0.6217  0.1415

A plane-wave DFT calculation with PBE was carried out for crystalline CsLiUSe3 at its relaxed geometry.

Lattice parameters (Å, degrees): 9.6413 4.2835 10.0833 90.00 110.68 90.00
Element x y z (fractional)
Cs  0.2149  0.2500  0.2597
Cs  0.7851  0.7500  0.7403
Li  0.0793  0.2500  0.5979
Li  0.9207  0.7500  0.4021
U  0.3223  0.7500  0.8478
U  0.6777  0.2500  0.1522
Se  0.1356  0.2500  0.8672
Se  0.2011  0.7500  0.5554
Se  0.4760  0.7500  0.1503
Se  0.5240  0.2500  0.8497
Se  0.7989  0.2500  0.4446
Se  0.8644  0.7500  0.1328

A plane-wave DFT calculation with PBE was carried out for crystalline Cs3LiU2Se9 at its relaxed geometry.

Lattice parameters (Å, degrees): 7.6861 7.6861 9.5144 90.00 90.00 120.00
Element x y z (fractional)
Cs  0.0000  0.0000  0.0000
Cs  0.3333  0.6667  0.6574
Cs  0.6667  0.3333  0.3426
Li  0.0000  0.0000  0.5000
U  0.3333  0.6667  0.1723
U  0.6667  0.3333  0.8277
Se  0.0000  0.5000  0.0000
Se  0.1697  0.3393  0.3256
Se  0.1697  0.8303  0.3256
Se  0.3393  0.1697  0.6744
Se  0.5000  0.0000  0.0000
Se  0.5000  0.5000  0.0000
Se  0.6607  0.8303  0.3256
Se  0.8303  0.1697  0.6744
Se  0.8303  0.6607  0.6744

A plane-wave DFT calculation with PBE was carried out for crystalline CsLi2VSe4 at its relaxed geometry.

Lattice parameters (Å, degrees): 6.8145 6.8145 6.8145 117.28 117.28 94.77
Element x y z (fractional)
Cs  0.0000  0.0000  0.0000
Li  0.2500  0.7500  0.5000
Li  0.7500  0.2500  0.5000
V  0.5000  0.5000  0.0000
Se  0.1664  0.1664  0.6338
Se  0.4674  0.8336  0.0000
Se  0.5326  0.5326  0.3662
Se  0.8336  0.4674  0.0000

A plane-wave DFT calculation with PBE was carried out for crystalline Cs2LiVSe4 at its relaxed geometry.

Lattice parameters (Å, degrees): 14.7711 13.2308 7.8456 84.91 63.15 31.94
Element x y z (fractional)
Cs  0.0526  0.0526  0.6974
Cs  0.3026  0.3026  0.9474
Cs  0.6974  0.6974  0.0526
Cs  0.9474  0.9474  0.3026
Li  0.1250  0.1250  0.1250
Li  0.8750  0.8750  0.8750
V  0.3750  0.3750  0.3750
V  0.6250  0.6250  0.6250
Se  0.0119  0.6358  0.5542
Se  0.2982  0.5542  0.6358
Se  0.3642  0.9881  0.7018
Se  0.4458  0.7018  0.9881
Se  0.5542  0.2982  0.0119
Se  0.6358  0.0119  0.2982
Se  0.7018  0.4458  0.3642
Se  0.9881  0.3642  0.4458

A plane-wave DFT calculation with PBE was carried out for crystalline CsLiWSe4 at its relaxed geometry.

Lattice parameters (Å, degrees): 6.2229 7.9357 10.3858 90.00 106.38 90.00
Element x y z (fractional)
Cs  0.1926  0.2500  0.3663
Cs  0.8074  0.7500  0.6337
Li  0.3551  0.7500  0.1944
Li  0.6449  0.2500  0.8056
W  0.1359  0.2500  0.7835
W  0.8641  0.7500  0.2165
Se  0.0312  0.2500  0.9813
Se  0.1921  0.7500  0.3995
Se  0.3510  0.0099  0.7775
Se  0.3510  0.4901  0.7775
Se  0.6490  0.5099  0.2225
Se  0.6490  0.9901  0.2225
Se  0.8079  0.2500  0.6005
Se  0.9688  0.7500  0.0187

A plane-wave DFT calculation with PBE was carried out for crystalline CsLiY2Se4 at its relaxed geometry.

Lattice parameters (Å, degrees): 7.5430 7.5430 14.7725 90.00 90.00 147.26
Element x y z (fractional)
Cs  0.1065  0.8935  0.7500
Cs  0.8935  0.1065  0.2500
Li  0.1729  0.8271  0.2500
Li  0.8271  0.1729  0.7500
Y  0.3659  0.6341  0.5607
Y  0.3659  0.6341  0.9393
Y  0.6341  0.3659  0.0607
Y  0.6341  0.3659  0.4393
Se  0.0000  0.0000  0.0000
Se  0.0000  0.0000  0.5000
Se  0.2590  0.7410  0.1031
Se  0.2590  0.7410  0.3969
Se  0.4153  0.5847  0.7500
Se  0.5847  0.4153  0.2500
Se  0.7410  0.2590  0.6031
Se  0.7410  0.2590  0.8969

A plane-wave DFT calculation with PBE was carried out for crystalline CsLiZnSe2 at its relaxed geometry.

Lattice parameters (Å, degrees): 8.1430 8.1430 6.2650 90.00 90.00 134.27
Element x y z (fractional)
Cs  0.2500  0.7500  0.7609
Cs  0.7500  0.2500  0.2391
Li  0.2500  0.2500  0.5000
Li  0.7500  0.7500  0.5000
Zn  0.0000  0.0000  0.0000
Zn  0.5000  0.5000  0.0000
Se  0.1032  0.8968  0.2676
Se  0.3968  0.6032  0.2676
Se  0.6032  0.3968  0.7324
Se  0.8968  0.1032  0.7324

A plane-wave DFT calculation with PBE was carried out for crystalline Cs2LiZr3Se8 at its relaxed geometry.

Lattice parameters (Å, degrees): 10.1200 10.1200 10.1200 45.02 45.02 45.02
Element x y z (fractional)
Cs  0.0000  0.0000  0.0000
Cs  0.3492  0.3492  0.3492
Li  0.8470  0.8470  0.8470
Zr  0.3503  0.3503  0.8432
Zr  0.3503  0.8432  0.3503
Zr  0.8432  0.3503  0.3503
Se  0.0772  0.0772  0.5604
Se  0.0772  0.5604  0.0772
Se  0.1252  0.1252  0.1252
Se  0.1318  0.6206  0.6206
Se  0.5604  0.0772  0.0772
Se  0.5743  0.5743  0.5743
Se  0.6206  0.1318  0.6206
Se  0.6206  0.6206  0.1318

Across the entries above, final energy takes the values -79.852, -78.190, -58.797, -87.365, -28.652, -31.157, -40.296, -42.353, -86.778, -114.677, -82.454, -64.468, -73.785, -35.344, -70.799, -70.332, -86.499, -31.895, -74.849 eV for the cell shown, respectively.
Across the entries above, formation energy (no corrections) takes the values -1.524, -1.572, -1.548, -1.517, -0.707, -0.695, -1.188, -1.288, -1.232, -1.056, -1.221, -1.287, -1.025, -0.951, -1.090, -0.787, -1.702, -0.987, -1.265 eV/atom, respectively.